Record 1
Density functional theory data (PBE) for Fe after structural relaxation.

a b c (Å): 2.7387 2.7387 3.7344
angles (deg): 111.51 111.51 60.00
Closest atoms and distances in Å follow each position.
Positions (direct):
Fe 0.7499 0.7499 0.2498  6 Fe 2.31-2.32
Fe 0.2501 0.2501 0.7502  6 Fe 2.31-2.32

Output
* energy of formation from the pure elements: 0.367 eV per atom
* energy above the most stable polymorph in this dataset: 367 meV/atom
* spin magnetization: 2.14 μB per atom

***

Record 2
Density functional theory data (PBE) for Cu4Ag after structural relaxation.

a b c (Å): 9.4863 9.4863 3.7472
angles (deg): 90.00 90.00 157.23
Closest atoms and distances in Å follow each position.
Positions (direct):
Ag 0.8982 0.1018 0.0000  12 Cu 2.65-2.67
Ag 0.1018 0.8982 0.0000  12 Cu 2.65-2.67
Cu 0.7041 0.2959 0.0000  10 Cu 2.53-2.68, 2 Ag 2.67
Cu 0.5000 0.5000 0.0000  8 Cu 2.65-2.66, 4 Ag 2.66
Cu 0.2959 0.7041 0.0000  10 Cu 2.53-2.68, 2 Ag 2.67
Cu 0.0000 0.0000 0.5000  8 Cu 2.65-2.66, 4 Ag 2.66
Cu 0.7961 0.2039 0.5000  10 Cu 2.54-2.67, 2 Ag 2.67
Cu 0.6013 0.3987 0.5000  4 Ag 2.65, 8 Cu 2.66-2.68
Cu 0.3987 0.6013 0.5000  4 Ag 2.65, 8 Cu 2.66-2.68
Cu 0.2039 0.7961 0.5000  10 Cu 2.54-2.67, 2 Ag 2.67

Output
* energy of formation from the pure elements: 0.068 eV per atom
* energy above the most stable polymorph in this dataset: 24 meV/atom

***

Record 3
Density functional theory data (PBE) for GdTmGa4Pt2 after structural relaxation.

a b c (Å): 6.7201 5.5311 5.5311
angles (deg): 46.40 90.00 90.00
Closest atoms and distances in Å follow each position.
Positions (direct):
Ga 0.3035 0.3691 0.3691  3 Pt 2.63-2.66, 2 Ga 2.64-2.74
Ga 0.6965 0.3691 0.3691  3 Pt 2.63-2.66, 2 Ga 2.64-2.74
Ga 0.1991 0.6299 0.6299  3 Pt 2.63-2.67, 2 Ga 2.68-2.74
Ga 0.8009 0.6299 0.6299  3 Pt 2.63-2.67, 2 Ga 2.68-2.74
Gd 0.0000 0.9170 0.9170  3 Pt 2.93-3.06, 6 Ga 3.02-3.21
Pt 0.0000 0.2053 0.2053  6 Ga 2.63-2.67, 1 Gd 2.93
Pt 0.5000 0.7954 0.7954  6 Ga 2.63-2.66, 1 Tm 2.94
Tm 0.5000 0.0844 0.0844  3 Pt 2.94-3.06, 6 Ga 3.01-3.18

Output
* VASP energy: -5.0930 eV per atom
* spin magnetization: 0.00 μB per atom

***

Record 4
Density functional theory data (PBE) for TaAgB2 after structural relaxation.

a b c (Å): 4.1893 4.1893 4.1893
angles (deg): 60.00 60.00 60.00
Closest atoms and distances in Å follow each position.
Positions (direct):
Ag 0.5000 0.5000 0.5000  4 Ta 2.57, 4 B 2.57
B 0.0000 0.0000 0.0000  4 Ta 2.57, 4 B 2.57
B 0.2500 0.2500 0.2500  4 B 2.57, 4 Ag 2.57
Ta 0.7500 0.7500 0.7500  4 B 2.57, 4 Ag 2.57

Output
* VASP energy: -5.4739 eV per atom
* spin magnetization: 0.11 μB per atom